Entry from Alexandria via LeMat-Bulk: DyYGa after structural relaxation (PBE).

Computed properties:
Symmetry: I4mm (107)
ΔE_f in eV per formula unit: -1.16
Total moment in μB per formula unit: 0.0
Total DFT energy (no corrections) in eV per atom: -5.084
E above lowest polymorph in meV/atom: 28

a b c (Å): 7.0081 7.0081 7.0081
angles (deg): 151.33 151.33 41.00
Atoms (fractional coordinates):
Dy 0.0000 0.0000 0.0000
Y 0.7096 0.7096 0.0000
Ga 0.3553 0.3553 0.0000

=====

Entry from Alexandria via LeMat-Bulk: DyY4Ga4 after structural relaxation (PBE).

Computed properties:
Symmetry: P4_2/n (86)
ΔE_f in eV per formula unit: -3.56
Total moment in μB per formula unit: 0.0
Total DFT energy (no corrections) in eV per atom: -5.125

a b c (Å): 9.0365 9.0365 5.9795
angles (deg): 90.00 90.00 90.00
Atoms (fractional coordinates):
Dy 0.2500 0.2500 0.2500
Dy 0.7500 0.7500 0.7500
Y 0.0651 0.6601 0.1301
Y 0.1601 0.9349 0.6301
Y 0.3399 0.5651 0.6301
Y 0.4349 0.8399 0.1301
Y 0.5651 0.1601 0.8699
Y 0.6601 0.4349 0.3699
Y 0.8399 0.0651 0.3699
Y 0.9349 0.3399 0.8699
Ga 0.0215 0.6194 0.6173
Ga 0.1194 0.9785 0.1173
Ga 0.3806 0.5215 0.1173
Ga 0.4785 0.8806 0.6173
Ga 0.5215 0.1194 0.3827
Ga 0.6194 0.4785 0.8827
Ga 0.8806 0.0215 0.8827
Ga 0.9785 0.3806 0.3827

=====

Entry from Alexandria via LeMat-Bulk: Dy2YGa6 after structural relaxation (PBE).

Computed properties:
Symmetry: Immm (71)
ΔE_f in eV per formula unit: -4.25
Total moment in μB per formula unit: 0.0
Total DFT energy (no corrections) in eV per atom: -4.231
E above lowest polymorph in meV/atom: 171

a b c (Å): 7.8330 7.8330 7.8330
angles (deg): 148.07 127.13 63.11
Atoms (fractional coordinates):
Dy 0.1258 0.1258 0.0000
Dy 0.8742 0.8742 0.0000
Y 0.5000 0.0000 0.5000
Ga 0.1227 0.3155 0.8071
Ga 0.1899 0.5000 0.6899
Ga 0.4916 0.6845 0.8071
Ga 0.5084 0.3155 0.1929
Ga 0.8101 0.5000 0.3101
Ga 0.8773 0.6845 0.1929